RbSiPtN2: PBEsol geometry, meta-GGA SCAN.

Properties
* energy: -103.81 eV/cell
* mass density: 5.5 g/cm3

a b c (Å): 3.9225 3.9225 6.5655
angles (deg): 90.00 90.00 90.00
Site moments in Bohr magnetons follow the coordinates.
Fractional coordinates of all 5 atoms:
Rb1 0.0000 0.0000 0.0000  0.04
Si1 0.0000 0.0000 0.5000  -0.01
Pt1 0.5000 0.5000 0.5000  0.07
N1 0.5000 0.0000 0.0000  0.82
N2 0.0000 0.5000 0.0000  0.82